No. 1
The following is a GGA-PBE calculation of an optimized crystal structure of YTcRu, from Alexandria.

Structure (extended XYZ):
```
6
Lattice="-0.0535 2.1470 -2.3147 0.2836 -3.2593 -3.0297 -7.8642 -1.5332 0.9133" Properties=species:S:1:pos:R:3 pbc="T T T"
Y -1.0219 -2.5164 -2.3105
Y -6.6122 -0.1290 -2.1207
Ru -1.9045 0.1452 -1.9751
Ru -5.7296 -2.7906 -2.4561
Tc -3.9128 -1.0469 -0.8806
Tc -3.7213 -1.5985 -3.5505
```

Calculated values
Calculated formation energy = 0.028 eV/f.u.
Total moment = 0.0 μB per formula unit

---

No. 2
The following is a GGA-PBE calculation of an optimized crystal structure of In2CuAgS4, from Alexandria.

Structure (extended XYZ):
```
8
Lattice="7.0146 0.0208 0.0000 2.3177 6.6207 0.0000 -4.6662 -3.3208 4.0503" Properties=species:S:1:pos:R:3 pbc="T T T"
In 4.6662 3.3208 0.0000
In 3.5073 0.0104 2.0251
Ag 1.1589 3.3103 2.0251
S 3.5946 2.5180 2.1397
S -1.1096 -0.7495 1.9105
S 4.5161 5.8402 0.0327
S 2.3313 -0.9672 4.0175
Cu 0.0000 0.0000 0.0000
```

Calculated values
Energy relative to the elements, uncorrected = -44 kJ per mole of atoms
Total moment = 0.0 μB per formula unit